No. 1
Computed, not measured: a geometry-optimized Na4Ta structure at the GGA-PBE level of DFT.

Results
Size of the total moment: 5.18 μB per cell
Fermi-level density of states: 5.115 states/eV/f.u.
ΔE_f: 1.291 eV/atom

Unit cell a=6.0643 b=6.0643 c=6.0643 alpha=90.00 beta=90.00 gamma=90.00
Closest atoms and distances in Å follow each position.
Positions (direct):
1 Na 0.0000 0.0000 0.0000  12 Na 4.29
2 Na 0.5000 0.0000 0.5000  2 Ta 3.03
3 Na 0.0000 0.5000 0.5000  2 Ta 3.03
4 Na 0.5000 0.5000 0.0000  2 Ta 3.03
5 Ta 0.5000 0.5000 0.5000  6 Na 3.03

---

No. 2
Computed, not measured: a geometry-optimized NaTa structure at the GGA-PBE level of DFT.

Results
Size of the total moment: 0.00 μB per cell
Fermi-level density of states: 1.639 states/eV/f.u.
ΔE_f: 0.756 eV/atom
Energy relative to the lowest polymorph listed for this composition: 162 meV per atom

Unit cell a=4.5834 b=3.0943 c=5.9517 alpha=90.00 beta=90.00 gamma=90.00
Closest atoms and distances in Å follow each position.
Positions (direct):
1 Na 0.0000 0.0000 0.5000  6 Na 2.77-3.09
2 Na 0.5000 0.5000 0.5000  6 Na 2.77-3.09
3 Ta 0.5000 0.0000 0.0000  6 Ta 2.77-3.09
4 Ta 0.0000 0.5000 0.0000  6 Ta 2.77-3.09

---

No. 3
Computed, not measured: a geometry-optimized NaTa structure at the GGA-PBE level of DFT.

Results
Size of the total moment: 23.97 μB per cell
Fermi-level density of states: 6.422 states/eV/f.u.
ΔE_f: 3.439 eV/atom
Energy relative to the lowest polymorph listed for this composition: 2845 meV per atom

Unit cell a=8.8473 b=8.8473 c=8.8473 alpha=90.00 beta=90.00 gamma=90.00
Closest atoms and distances in Å follow each position.
Positions (direct):
1 Na 0.2500 0.5000 0.0000  4 Ta 3.13
2 Na 0.7500 0.5000 0.0000  4 Ta 3.13
3 Na 0.5000 0.0000 0.2500  4 Ta 3.13
4 Na 0.5000 0.0000 0.7500  4 Ta 3.13
5 Na 0.0000 0.2500 0.5000  4 Ta 3.13
6 Na 0.0000 0.7500 0.5000  4 Ta 3.13
7 Ta 0.2500 0.0000 0.5000  4 Na 3.13
8 Ta 0.7500 0.0000 0.5000  4 Na 3.13
9 Ta 0.0000 0.5000 0.2500  4 Na 3.13
10 Ta 0.0000 0.5000 0.7500  4 Na 3.13
11 Ta 0.5000 0.2500 0.0000  4 Na 3.13
12 Ta 0.5000 0.7500 0.0000  4 Na 3.13

---

No. 4
Computed, not measured: a geometry-optimized NaTa structure at the GGA-PBE level of DFT.

Results
Size of the total moment: 0.00 μB per cell
Fermi-level density of states: 1.683 states/eV/f.u.
ΔE_f: 0.951 eV/atom
Energy relative to the lowest polymorph listed for this composition: 357 meV per atom

Unit cell a=6.1237 b=6.1015 c=9.0753 alpha=90.00 beta=90.00 gamma=90.00
Closest atoms and distances in Å follow each position.
Positions (direct):
1 Na 0.2856 0.6998 0.9989  4 Na 2.84-3.12, 4 Ta 3.12-3.17
2 Na 0.7856 0.8002 0.0011  4 Na 2.84-3.12, 4 Ta 3.12-3.17
3 Na 0.7144 0.1998 0.5011  4 Na 2.84-3.12, 4 Ta 3.12-3.17
4 Na 0.2144 0.3002 0.4989  4 Na 2.84-3.12, 4 Ta 3.12-3.17
5 Na 0.0527 0.4904 0.7628  4 Na 2.84-3.13, 4 Ta 3.12-3.17
6 Na 0.5527 0.0096 0.2372  4 Na 2.84-3.13, 4 Ta 3.12-3.17
7 Na 0.9473 0.9904 0.7372  4 Na 2.84-3.13, 4 Ta 3.12-3.17
8 Na 0.4473 0.5096 0.2628  4 Na 2.84-3.13, 4 Ta 3.12-3.17
9 Ta 0.6740 0.3041 0.9663  1 Ta 2.58
10 Ta 0.1740 0.1959 0.0337  1 Ta 2.58
11 Ta 0.3260 0.8041 0.5337  1 Ta 2.58
12 Ta 0.8260 0.6959 0.4663  1 Ta 2.58
13 Ta 0.4448 0.0737 0.7846  1 Ta 2.58
14 Ta 0.9448 0.4263 0.2154  1 Ta 2.58
15 Ta 0.5552 0.5737 0.7154  1 Ta 2.58
16 Ta 0.0552 0.9263 0.2846  1 Ta 2.58

---

No. 5
Computed, not measured: a geometry-optimized NaTa structure at the GGA-PBE level of DFT.

Results
Size of the total moment: 0.00 μB per cell
Fermi-level density of states: 1.136 states/eV/f.u.
ΔE_f: 0.594 eV/atom
Energy relative to the lowest polymorph listed for this composition: 0 meV per atom

Unit cell a=11.7053 b=11.7053 c=2.9074 alpha=90.00 beta=90.00 gamma=90.00
Closest atoms and distances in Å follow each position.
Positions (direct):
1 Na 0.6189 0.9212 0.5000  2 Na 2.91
2 Na 0.3811 0.0788 0.5000  2 Na 2.91
3 Na 0.0788 0.6189 0.5000  2 Na 2.91
4 Na 0.9212 0.3811 0.5000  2 Na 2.91
5 Na 0.8398 0.1154 0.0000  2 Na 2.91
6 Na 0.1602 0.8846 0.0000  2 Na 2.91
7 Na 0.8846 0.8398 0.0000  2 Na 2.91
8 Na 0.1154 0.1602 0.0000  2 Na 2.91
9 Ta 0.7676 0.6132 0.5000  6 Ta 2.83-2.91
10 Ta 0.2324 0.3868 0.5000  6 Ta 2.83-2.91
11 Ta 0.3868 0.7676 0.5000  6 Ta 2.83-2.91
12 Ta 0.6132 0.2324 0.5000  6 Ta 2.83-2.91
13 Ta 0.6576 0.4349 0.0000  8 Ta 2.82-2.91
14 Ta 0.3424 0.5651 0.0000  8 Ta 2.82-2.91
15 Ta 0.5651 0.6576 0.0000  8 Ta 2.82-2.91
16 Ta 0.4349 0.3424 0.0000  8 Ta 2.82-2.91

---

No. 6
Computed, not measured: a geometry-optimized NaTa structure at the GGA-PBE level of DFT.

Results
Size of the total moment: 0.00 μB per cell
Fermi-level density of states: 2.965 states/eV/f.u.
ΔE_f: 2.559 eV/atom
Energy relative to the lowest polymorph listed for this composition: 1964 meV per atom

Unit cell a=5.5757 b=5.5757 c=5.5757 alpha=90.00 beta=90.00 gamma=90.00
Closest atoms and distances in Å follow each position.
Positions (direct):
1 Na 0.0000 0.0000 0.0000  6 Ta 2.79
2 Na 0.0000 0.5000 0.5000  6 Ta 2.79
3 Na 0.5000 0.0000 0.5000  6 Ta 2.79
4 Na 0.5000 0.5000 0.0000  6 Ta 2.79
5 Ta 0.5000 0.5000 0.5000  6 Na 2.79
6 Ta 0.5000 0.0000 0.0000  6 Na 2.79
7 Ta 0.0000 0.5000 0.0000  6 Na 2.79
8 Ta 0.0000 0.0000 0.5000  6 Na 2.79